The following is a PBE-GGA calculation of TaGaBiO6 after structural relaxation, from Alexandria via LeMat-Bulk.

- N(E_F): 0.260 states/eV per atom
- ΔE_f (raw): -1894.3 meV/atom
- Size of the total moment: 0.000 μB/f.u.
- SG: No. 102

abc: 4.8365 4.8365 9.7481
angles: 90.00 90.00 90.00
Closest atoms and distances in Å follow each position.
Positions (direct):
Ta (0.0000, 0.0000, 0.0000)  6 O 1.95-2.07
Ta (0.5000, 0.5000, 0.5000)  6 O 1.95-2.07
Ga (0.0000, 0.0000, 0.6578)  6 O 2.02
Ga (0.5000, 0.5000, 0.1578)  6 O 2.02
Bi (0.0000, 0.0000, 0.3315)  6 O 2.22-2.35
Bi (0.5000, 0.5000, 0.8315)  6 O 2.22-2.35
O (0.1729, 0.1729, 0.8261)  1 Ga 2.02, 1 Ta 2.07, 1 Bi 2.24
O (0.2044, 0.2044, 0.5084)  1 Ga 2.02, 1 Ta 2.02, 1 Bi 2.22
O (0.2056, 0.2056, 0.1385)  1 Ta 1.95, 1 Ga 2.02
O (0.2944, 0.7056, 0.6385)  1 Ta 1.95, 1 Ga 2.02
O (0.2956, 0.7044, 0.0084)  1 Ga 2.02, 1 Ta 2.02, 1 Bi 2.22
O (0.3271, 0.6729, 0.3261)  1 Ga 2.02, 1 Ta 2.07, 1 Bi 2.24
O (0.6729, 0.3271, 0.3261)  1 Ga 2.02, 1 Ta 2.07, 1 Bi 2.24
O (0.7044, 0.2956, 0.0084)  1 Ga 2.02, 1 Ta 2.02, 1 Bi 2.22
O (0.7056, 0.2944, 0.6385)  1 Ta 1.95, 1 Ga 2.02
O (0.7944, 0.7944, 0.1385)  1 Ta 1.95, 1 Ga 2.02
O (0.7956, 0.7956, 0.5084)  1 Ga 2.02, 1 Ta 2.02, 1 Bi 2.22
O (0.8271, 0.8271, 0.8261)  1 Ga 2.02, 1 Ta 2.07, 1 Bi 2.24